# Pr2YTh3, optimized geometry, DFT PBE
# **Formation energy**: 0.2015 eV/atom
# **Magnetic moment**: 0.00 Bohr magnetons per cell
# **Energy**: -6.179 eV per atom
# **Symmetry**: Cmcm (63)
data_Pr2YTh3
_chemical_formula_sum 'Pr4 Y2 Th6'
_cell_length_a 7.743
_cell_length_b 7.743
_cell_length_c 6.807
_cell_angle_alpha 90.00
_cell_angle_beta 90.00
_cell_angle_gamma 96.06
_symmetry_space_group_name_H-M 'P 1'
_symmetry_Int_Tables_number 1
loop_
_symmetry_equiv_pos_as_xyz
'x,y,z'
loop_
_atom_site_label
_atom_site_type_symbol
_atom_site_fract_x
_atom_site_fract_y
_atom_site_fract_z
Pr1 Pr 0.063 0.603 0.750
Pr2 Pr 0.397 0.937 0.750
Pr3 Pr 0.603 0.063 0.250
Pr4 Pr 0.937 0.397 0.250
Y1 Y 0.270 0.730 0.250
Y2 Y 0.730 0.270 0.750
Th1 Th 0.000 0.000 0.000
Th2 Th 0.000 0.000 0.500
Th3 Th 0.334 0.334 0.000
Th4 Th 0.334 0.334 0.500
Th5 Th 0.666 0.666 0.000
Th6 Th 0.666 0.666 0.500

---

# MgMnTlCl6, optimized geometry, DFT PBE
# **Magnetic moment**: 8.00 Bohr magnetons per cell
# **Energy**: -3.960 eV per atom
# **Symmetry**: P-31c (163)
data_MgMnTlCl6
_chemical_formula_sum 'Mg2 Mn2 Tl2 Cl12'
_cell_length_a 6.430
_cell_length_b 6.430
_cell_length_c 14.143
_cell_angle_alpha 90.00
_cell_angle_beta 90.00
_cell_angle_gamma 120.00
_symmetry_space_group_name_H-M 'P 1'
_symmetry_Int_Tables_number 1
loop_
_symmetry_equiv_pos_as_xyz
'x,y,z'
loop_
_atom_site_label
_atom_site_type_symbol
_atom_site_fract_x
_atom_site_fract_y
_atom_site_fract_z
Mg1 Mg 0.333 0.667 0.250
Mg2 Mg 0.667 0.333 0.750
Mn1 Mn 0.333 0.667 0.750
Mn2 Mn 0.667 0.333 0.250
Tl1 Tl 0.000 0.000 0.000
Tl2 Tl 0.000 0.000 0.500
Cl1 Cl 0.013 0.380 0.651
Cl2 Cl 0.013 0.633 0.849
Cl3 Cl 0.367 0.380 0.849
Cl4 Cl 0.367 0.987 0.651
Cl5 Cl 0.380 0.013 0.151
Cl6 Cl 0.380 0.367 0.349
Cl7 Cl 0.620 0.633 0.651
Cl8 Cl 0.620 0.987 0.849
Cl9 Cl 0.633 0.013 0.349
Cl10 Cl 0.633 0.620 0.151
Cl11 Cl 0.987 0.367 0.151
Cl12 Cl 0.987 0.620 0.349

---

# CdGePtRh2, optimized geometry, DFT PBE
# **Formation energy**: 1.4518 eV/atom
# **Magnetic moment**: 0.00 Bohr magnetons per cell
# **Energy**: -3.803 eV per atom
# **Symmetry**: P4/mmm (123)
data_CdGePtRh2
_chemical_formula_sum 'Cd1 Ge1 Pt1 Rh2'
_cell_length_a 4.865
_cell_length_b 4.865
_cell_length_c 4.905
_cell_angle_alpha 90.00
_cell_angle_beta 90.00
_cell_angle_gamma 90.00
_symmetry_space_group_name_H-M 'P 1'
_symmetry_Int_Tables_number 1
loop_
_symmetry_equiv_pos_as_xyz
'x,y,z'
loop_
_atom_site_label
_atom_site_type_symbol
_atom_site_fract_x
_atom_site_fract_y
_atom_site_fract_z
Cd1 Cd 0.000 0.000 0.000
Ge1 Ge 0.500 0.500 0.500
Pt1 Pt 0.000 0.000 0.500
Rh1 Rh 0.000 0.500 0.000
Rh2 Rh 0.500 0.000 0.000

---

# CuOs3W, optimized geometry, DFT PBE
# **Formation energy**: 1.9722 eV/atom
# **Magnetic moment**: 0.00 Bohr magnetons per cell
# **Energy**: -8.176 eV per atom
# **Symmetry**: Pm-3m (221)
data_CuOs3W
_chemical_formula_sum 'Cu1 Os3 W1'
_cell_length_a 4.358
_cell_length_b 4.358
_cell_length_c 4.358
_cell_angle_alpha 90.00
_cell_angle_beta 90.00
_cell_angle_gamma 90.00
_symmetry_space_group_name_H-M 'P 1'
_symmetry_Int_Tables_number 1
loop_
_symmetry_equiv_pos_as_xyz
'x,y,z'
loop_
_atom_site_label
_atom_site_type_symbol
_atom_site_fract_x
_atom_site_fract_y
_atom_site_fract_z
Cu1 Cu 0.000 0.000 0.000
Os1 Os 0.000 0.000 0.500
Os2 Os 0.000 0.500 0.000
Os3 Os 0.500 0.000 0.000
W1 W 0.500 0.500 0.500

---

# SmMgScRu, optimized geometry, DFT PBE
# **Formation energy**: -0.2754 eV/atom
# **Magnetic moment**: 0.00 Bohr magnetons per cell
# **Energy**: -5.756 eV per atom
# **Symmetry**: P4mm (99)
data_SmMgScRu
_chemical_formula_sum 'Sm1 Mg1 Sc1 Ru1'
_cell_length_a 3.374
_cell_length_b 3.374
_cell_length_c 7.965
_cell_angle_alpha 90.00
_cell_angle_beta 90.00
_cell_angle_gamma 90.00
_symmetry_space_group_name_H-M 'P 1'
_symmetry_Int_Tables_number 1
loop_
_symmetry_equiv_pos_as_xyz
'x,y,z'
loop_
_atom_site_label
_atom_site_type_symbol
_atom_site_fract_x
_atom_site_fract_y
_atom_site_fract_z
Sm1 Sm 0.000 0.000 0.000
Mg1 Mg 0.500 0.500 0.322
Sc1 Sc 0.000 0.000 0.594
Ru1 Ru 0.500 0.500 0.770

---

# ScCoRu2, optimized geometry, DFT PBE
# **Formation energy**: -0.0640 eV/atom
# **Magnetic moment**: 0.00 Bohr magnetons per cell
# **Energy**: -8.061 eV per atom
# **Symmetry**: Pm (6)
data_ScCoRu2
_chemical_formula_sum 'Sc1 Co1 Ru2'
_cell_length_a 2.841
_cell_length_b 4.211
_cell_length_c 5.063
_cell_angle_alpha 90.00
_cell_angle_beta 106.15
_cell_angle_gamma 90.00
_symmetry_space_group_name_H-M 'P 1'
_symmetry_Int_Tables_number 1
loop_
_symmetry_equiv_pos_as_xyz
'x,y,z'
loop_
_atom_site_label
_atom_site_type_symbol
_atom_site_fract_x
_atom_site_fract_y
_atom_site_fract_z
Sc1 Sc 0.000 0.000 0.000
Co1 Co 0.592 0.500 0.188
Ru1 Ru 0.320 0.500 0.647
Ru2 Ru 0.732 0.000 0.474